KAg2MoF8 | GGA+U | optimized geometry

Total magnetization = 0.99 μB/f.u.
E_tot = -4.2429 eV per atom

Structure (extended XYZ):
```
12
Lattice="5.442 0.000 0.000 -2.721 4.713 0.000 0.000 0.000 8.343" Properties=species:S:1:pos:R:3 pbc="T T T"
K 0.000 0.000 4.172
Ag 2.721 1.571 1.607
Ag 0.000 3.142 6.737
Mo 0.000 0.000 0.000
F 2.721 3.159 7.130
F 1.346 0.777 7.130
F 4.096 0.777 7.130
F 0.000 1.554 1.214
F 1.375 3.936 1.214
F -1.375 3.936 1.214
F 2.721 1.571 3.679
F 0.000 3.142 4.664
```